Pa2CF | PBE | relaxed

Properties
* final energy: -8.78 eV per atom
* total moment: 0.00 μB per cell
* formation energy without anion corrections: -1.255 eV/atom

Cell lengths 6.3324, 6.3324, 6.3324 Å; angles 32.50, 32.50, 32.50 degrees
Sites, in units of the cell vectors:
Pa  0.2439  0.2439  0.2439
Pa  0.7561  0.7561  0.7561
C  0.5000  0.5000  0.5000
F  0.0000  0.0000  0.0000